[1]
The following is a DFT calculation (PBE) of crystalline ZnCo at its relaxed geometry.

a = 2.6696 Å, b = 2.6696 Å, c = 7.0053 Å
α = 90.00°, β = 90.00°, γ = 90.00°
Last column: nearest neighbours and their distance in Å.
Positions (direct):
Zn1 0.7500 0.7500 0.3537  4 Co 2.57, 8 Zn 2.67-2.79
Zn2 0.2500 0.2500 0.6463  4 Co 2.57, 8 Zn 2.67-2.79
Co1 0.2500 0.2500 0.1054  8 Co 2.40-2.67, 4 Zn 2.57
Co2 0.7500 0.7500 0.8946  8 Co 2.40-2.67, 4 Zn 2.57

The space group is P4/nmm, No. 129. The total energy comes out at -0.1548 hartree per atom. As for the total magnetic moment: 2.8 Bohr magnetons per cell. As for the formation energy: -0.022 eV/atom.

[2]
The following is a DFT calculation (PBE) of crystalline Zn5Co3 at its relaxed geometry.

a = 4.6589 Å, b = 7.0785 Å, c = 7.0793 Å
α = 96.35°, β = 109.20°, γ = 70.82°
Last column: nearest neighbours and their distance in Å.
Positions (direct):
Zn1 0.4288 0.8400 0.6974  6 Co 2.44-2.68, 3 Zn 2.64-2.70
Zn2 0.0723 0.6970 0.8406  6 Co 2.44-2.68, 3 Zn 2.64-2.70
Zn3 0.5720 0.1597 0.3032  6 Co 2.44-2.68, 3 Zn 2.64-2.70
Zn4 0.7313 0.6981 0.1607  6 Co 2.44-2.68, 3 Zn 2.64-2.69
Zn5 0.7504 0.5000 0.5004  2 Zn 2.33
Zn6 0.7691 0.1604 0.6983  6 Co 2.44-2.68, 3 Zn 2.64-2.69
Zn7 0.2314 0.8400 0.3023  6 Co 2.44-2.68, 3 Zn 2.64-2.69
Zn8 0.9286 0.3028 0.1604  6 Co 2.44-2.68, 3 Zn 2.64-2.70
Zn9 0.2504 0.5000 0.5004  2 Zn 2.33
Zn10 0.2695 0.3021 0.8403  6 Co 2.44-2.68, 3 Zn 2.64-2.69
Co1 0.1766 0.1468 0.5001  10 Zn 2.44-2.68
Co2 0.8245 0.8532 0.5010  10 Zn 2.44-2.68
Co3 0.7503 0.9998 0.0001  2 Co 2.33, 8 Zn 2.57
Co4 0.2503 0.0002 0.0002  2 Co 2.33, 8 Zn 2.57
Co5 0.3240 0.4996 0.1473  10 Zn 2.44-2.68
Co6 0.6770 0.5005 0.8538  10 Zn 2.44-2.68

The space group is Ibam, No. 72. The total energy comes out at -0.1230 hartree per atom. The energy relative to the lowest polymorph listed for this composition comes out at 119.7 meV/atom. As for the total magnetic moment: 5.6 Bohr magnetons per cell. As for the formation energy: 0.115 eV/atom.

[3]
The following is a DFT calculation (PBE) of crystalline Zn5Co3 at its relaxed geometry.

a = 4.4775 Å, b = 4.4775 Å, c = 5.8864 Å
α = 105.11°, β = 105.11°, γ = 108.34°
Last column: nearest neighbours and their distance in Å.
Positions (direct):
Zn1 0.1288 0.6288 0.2575  6 Zn 2.56-2.71, 6 Co 2.56-2.62
Zn2 0.8712 0.3712 0.7425  6 Zn 2.56-2.71, 6 Co 2.56-2.62
Zn3 0.3712 0.8712 0.7425  6 Zn 2.56-2.71, 6 Co 2.56-2.62
Zn4 0.0000 0.0000 0.0000  8 Zn 2.62, 4 Co 2.62-2.68
Zn5 0.6288 0.1288 0.2575  6 Zn 2.56-2.71, 6 Co 2.56-2.62
Co1 0.5000 0.5000 0.0000  2 Co 2.59, 10 Zn 2.62
Co2 0.7459 0.7459 0.4917  9 Zn 2.56-2.68, 3 Co 2.59-2.62
Co3 0.2541 0.2541 0.5083  9 Zn 2.56-2.68, 3 Co 2.59-2.62

The space group is Fmmm, No. 69. The total energy comes out at -0.1269 hartree per atom. The energy relative to the lowest polymorph listed for this composition comes out at 12.6 meV/atom. As for the total magnetic moment: 2.3 Bohr magnetons per cell. As for the formation energy: 0.007 eV/atom.

[4]
The following is a DFT calculation (PBE) of crystalline ZnCo5 at its relaxed geometry.

a = 2.7012 Å, b = 4.1135 Å, c = 6.5018 Å
α = 108.44°, β = 90.00°, γ = 90.00°
Last column: nearest neighbours and their distance in Å.
Positions (direct):
Zn1 0.0000 0.0000 0.0000  8 Co 2.46-2.52, 2 Zn 2.70
Co1 0.0000 0.3345 0.6690  8 Co 2.41-2.46
Co2 0.0000 0.6655 0.3310  8 Co 2.41-2.46
Co3 0.5000 0.5000 0.0000  6 Co 2.45-2.70, 4 Zn 2.46
Co4 0.5000 0.8272 0.6544  6 Co 2.41-2.46, 2 Zn 2.52
Co5 0.5000 0.1728 0.3456  6 Co 2.41-2.46, 2 Zn 2.52

The space group is Cmmm, No. 65. The total energy comes out at -0.2225 hartree per atom. As for the total magnetic moment: 8.1 Bohr magnetons per cell. As for the formation energy: 0.080 eV/atom.